Compound: LiCa2LaOs
Source: Alexandria via LeMat-Bulk
Functional: PBE
Structure: optimized geometry

As for the calculated formation energy: 0.1156 eV per atom. For the total energy, the calculation gives -21.5 eV/f.u.

The space group is P4/mmm (No. 123) and the conventional cell measures 5.735, 5.735 and 5.279 Å, with angles of 90.00, 90.00 and 90.00 degrees. The asymmetric unit holds Li at (0.000, 0.000, 0.000), Ca at (0.000, 0.500, 0.500), La at (0.500, 0.500, 0.000) and Os at (0.500, 0.500, 0.500).